(1)
RbLaSbI2 at its PBEsol-relaxed geometry, computed with SCAN. Values from VASP.

Computed properties:
Electronic total energy: -35.980 eV per atom
Energy relative to the elements, uncorrected: -1.06 eV/atom
Crystal system: tetragonal

Geometry as Quantum ESPRESSO input:
```
&SYSTEM
  ibrav = 0, nat = 5, ntyp = 4
/
ATOMIC_SPECIES
I 126.90 I.upf
Sb 121.76 Sb.upf
La 138.91 La.upf
Rb 85.47 Rb.upf
CELL_PARAMETERS angstrom
6.0173 0.0000 0.0000
0.0000 6.2478 0.0000
0.0000 0.0000 6.2478
ATOMIC_POSITIONS crystal
I 0.0000 0.0000 0.5000
Sb 0.5000 0.0000 0.0000
I 0.0000 0.5000 0.0000
La 0.0000 0.0000 0.0000
Rb 0.5000 0.5000 0.5000
```

***

(2)
RbLaZn2I at its PBEsol-relaxed geometry, computed with SCAN. Values from VASP.

Computed properties:
Electronic total energy: -25.637 eV per atom
Energy relative to the elements, uncorrected: -0.11 eV/atom
Crystal system: tetragonal

Geometry as Quantum ESPRESSO input:
```
&SYSTEM
  ibrav = 0, nat = 5, ntyp = 4
/
ATOMIC_SPECIES
Zn 65.41 Zn.upf
La 138.91 La.upf
I 126.90 I.upf
Rb 85.47 Rb.upf
CELL_PARAMETERS angstrom
-4.9840 -2.3582 -1.8775
-0.8718 -2.3451 5.2599
-3.0613 5.0730 1.7545
ATOMIC_POSITIONS crystal
Zn 0.0000 0.5000 0.0000
La 0.0000 0.0000 0.0000
I 0.0000 0.0000 0.5000
Zn 0.5000 0.0000 0.0000
Rb 0.5000 0.5000 0.5000
```

***

(3)
La2ReI at its PBEsol-relaxed geometry, computed with SCAN. Values from VASP.

Computed properties:
Electronic total energy: -48.371 eV per atom
Energy relative to the elements, uncorrected: 0.14 eV/atom
Crystal system: cubic

Geometry as Quantum ESPRESSO input:
```
&SYSTEM
  ibrav = 0, nat = 4, ntyp = 3
/
ATOMIC_SPECIES
La 138.91 La.upf
Re 186.21 Re.upf
I 126.90 I.upf
CELL_PARAMETERS angstrom
-4.2249 2.9656 1.0666
-3.3384 -1.4439 3.8148
-0.2220 2.7532 4.4892
ATOMIC_POSITIONS crystal
La 0.7500 0.7500 0.7500
La 0.2500 0.2500 0.2500
Re 0.5000 0.5000 0.5000
I 0.0000 0.0000 0.0000
```

***

(4)
La3ReI at its PBEsol-relaxed geometry, computed with SCAN. Values from VASP.

Computed properties:
Electronic total energy: -46.404 eV per atom
Energy relative to the elements, uncorrected: 1.03 eV/atom
Crystal system: cubic

Geometry as Quantum ESPRESSO input:
```
&SYSTEM
  ibrav = 0, nat = 5, ntyp = 3
/
ATOMIC_SPECIES
La 138.91 La.upf
Re 186.21 Re.upf
I 126.90 I.upf
CELL_PARAMETERS angstrom
5.7477 0.0000 0.0000
0.0000 5.7477 0.0000
0.0000 0.0000 5.7477
ATOMIC_POSITIONS crystal
La 0.0000 0.5000 0.0000
La 0.5000 0.0000 0.0000
Re 0.5000 0.5000 0.5000
La 0.0000 0.0000 0.5000
I 0.0000 0.0000 0.0000
```

***

(5)
LaScRe2I at its PBEsol-relaxed geometry, computed with SCAN. Values from VASP.

Computed properties:
Electronic total energy: -45.490 eV per atom
Energy relative to the elements, uncorrected: 1.77 eV/atom
Crystal system: tetragonal

Geometry as Quantum ESPRESSO input:
```
&SYSTEM
  ibrav = 0, nat = 5, ntyp = 4
/
ATOMIC_SPECIES
I 126.90 I.upf
Re 186.21 Re.upf
Sc 44.96 Sc.upf
La 138.91 La.upf
CELL_PARAMETERS angstrom
-3.5558 0.0051 -3.3212
0.8627 -4.6972 -0.9309
-3.6296 -1.4363 3.8838
ATOMIC_POSITIONS crystal
I 0.0000 0.0000 0.0000
Re 0.0000 0.5000 0.0000
Sc 0.5000 0.5000 0.5000
Re 0.5000 0.0000 0.0000
La 0.0000 0.0000 0.5000
```

***

(6)
LaTe2RhI at its PBEsol-relaxed geometry, computed with SCAN. Values from VASP.

Computed properties:
Electronic total energy: -38.322 eV per atom
Energy relative to the elements, uncorrected: -0.70 eV/atom
Crystal system: tetragonal

Geometry as Quantum ESPRESSO input:
```
&SYSTEM
  ibrav = 0, nat = 5, ntyp = 4
/
ATOMIC_SPECIES
Te 127.60 Te.upf
I 126.90 I.upf
Rh 102.91 Rh.upf
La 138.91 La.upf
CELL_PARAMETERS angstrom
5.1879 0.0000 0.0000
0.0000 5.2245 0.0000
0.0000 0.0000 5.2245
ATOMIC_POSITIONS crystal
Te 0.0000 0.5000 0.0000
I 0.5000 0.0000 0.0000
Rh 0.0000 0.0000 0.0000
Te 0.0000 0.0000 0.5000
La 0.5000 0.5000 0.5000
```